Computed, not measured: TlIr2Au after structural relaxation at the PBE level of DFT.

Energy above the lowest structure with this stoichiometry (eV/f.u.): 0.84
Calculated volume (Å³ per atom): 17.278
Energy relative to the elements (kJ/mol of atoms): 58
DOS at the Fermi energy (states/eV per cell): 6.2

Lattice parameters (Å, degrees): 4.6064 4.6064 4.6064 60.00 60.00 60.00
Last column: nearest neighbours and their distance in Å.
Atoms (fractional coordinates):
Tl 0.5000 0.5000 0.5000  8 Ir 2.82
Ir 0.7500 0.7500 0.7500  4 Tl 2.82, 4 Au 2.82
Ir 0.2500 0.2500 0.2500  4 Tl 2.82, 4 Au 2.82
Au 0.0000 0.0000 0.0000  8 Ir 2.82